Record 1
4
Lattice="3.606 0.000 0.000 0.000 3.606 0.000 0.000 0.000 8.061" Properties=species:S:1:pos:R:3 comment="La2ScTc (PBE, optimized geometry)" dos_ef_per_ev_atom=1.352 polymorph_energy_ev_per_atom=0.138 formation_energy_ev_per_atom=0.169 pbc="T T T"
La 0.000 0.000 1.726
La 0.000 0.000 6.335
Sc 1.803 1.803 4.031
Tc 1.803 1.803 0.000



Record 2
8
Lattice="-2.748 2.748 5.312 2.748 -2.748 5.312 2.748 2.748 -5.312" Properties=species:S:1:pos:R:3 comment="ZnReP2 (PBE, optimized geometry)" dos_ef_per_ev_atom=0.610 formation_energy_ev_per_atom=0.120 pbc="T T T"
Zn 0.000 0.000 0.000
Zn 0.000 2.748 2.656
Re 2.748 0.000 2.656
Re 0.000 0.000 5.312
P 1.374 -1.253 3.984
P 1.495 1.374 1.328
P 1.374 4.001 -1.328
P 1.253 1.374 6.640



Record 3
5
Lattice="4.351 0.000 0.000 0.000 4.351 0.000 0.000 0.000 4.351" Properties=species:S:1:pos:R:3 comment="Al3SbH (PBE, optimized geometry)" dos_ef_per_ev_atom=0.472 polymorph_energy_ev_per_atom=0.000 pbc="T T T"
Al 0.000 0.000 2.176
Al 0.000 2.176 0.000
Al 2.176 0.000 0.000
Sb 2.176 2.176 2.176
H 0.000 0.000 0.000



Record 4
12
Lattice="3.969 -6.861 0.000 3.969 6.861 0.000 -2.644 0.000 7.825" Properties=species:S:1:pos:R:3 comment="Ba3Tb2HoTe6 (PBE, optimized geometry)" dos_ef_per_ev_atom=0.448 e_form_raw_ev_per_atom=-1.521 pbc="T T T"
Ba 0.000 0.000 0.000
Ba 3.969 2.299 0.000
Ba 3.969 -2.299 0.000
Tb 2.647 4.580 3.913
Tb 2.647 -4.580 3.913
Ho 2.647 0.000 3.913
Te 1.333 2.274 2.231
Te 0.019 0.000 5.603
Te 1.333 -2.274 2.231
Te 3.961 2.274 5.594
Te 5.274 0.000 2.223
Te 3.961 -2.274 5.594



Record 5
4
Lattice="3.916 -2.259 0.000 3.916 2.259 0.000 -2.577 0.000 9.129" Properties=species:S:1:pos:R:3 comment="Ba2ZrRe (PBE, optimized geometry)" dos_ef_per_ev_atom=1.545 polymorph_energy_ev_per_atom=0.053 formation_energy_ev_per_atom=0.505 pbc="T T T"
Ba 0.000 0.000 0.000
Ba 0.003 0.000 4.894
Zr 5.226 0.000 2.446
Re 2.615 0.000 2.435



Record 6
11
Lattice="8.305 -3.349 0.000 8.305 3.349 0.000 -1.190 0.000 6.597" Properties=species:S:1:pos:R:3 comment="Tb8Nd2Y (PBE, optimized geometry)" dos_ef_per_ev_atom=1.492 polymorph_energy_ev_per_atom=0.040 formation_energy_ev_per_atom=0.156 pbc="T T T"
Tb 0.975 0.000 2.684
Tb 6.722 1.761 0.615
Tb 4.027 0.000 1.280
Tb 8.696 1.761 5.982
Tb 6.722 -1.761 0.615
Tb 11.391 0.000 5.317
Tb 8.696 -1.761 5.982
Tb 14.444 0.000 3.913
Nd 4.144 0.000 4.630
Nd 11.275 0.000 1.967
Y 7.709 0.000 3.299



Record 7
5
Lattice="4.149 0.000 0.000 0.000 4.149 0.000 0.000 0.000 4.345" Properties=species:S:1:pos:R:3 comment="RbFe2BW (PBE, optimized geometry)" dos_ef_per_ev_atom=0.804 formation_energy_ev_per_atom=1.362 pbc="T T T"
Rb 0.000 0.000 0.000
Fe 0.000 2.075 2.172
Fe 2.075 0.000 2.172
B 2.075 2.075 2.172
W 2.075 2.075 0.000



Record 8
12
Lattice="7.427 -2.191 0.000 7.427 2.191 0.000 -3.386 0.000 13.132" Properties=species:S:1:pos:R:3 comment="LaNd4Te7 (PBE, optimized geometry)" dos_ef_per_ev_atom=0.200 e_form_raw_ev_per_atom=-1.457 pbc="T T T"
La 0.000 0.000 0.000
Nd 0.276 0.000 5.564
Nd 0.556 0.000 11.079
Nd 4.081 0.000 8.024
Nd 11.319 0.000 3.107
Te -1.045 0.000 8.391
Te 1.599 0.000 2.739
Te 5.250 0.000 0.979
Te 5.478 0.000 4.931
Te 6.035 0.000 12.092
Te 9.934 0.000 6.188
Te 10.103 0.000 10.106



Q: Number 6 is which compound?
A: Tb8Nd2Y



Q: Which formula does entry 5 have?
A: Ba2ZrRe